The following is a DFT calculation (GGA-PBE) of a geometry-optimized GeTeWCl2 structure.

Cell: 4.573 5.627 4.573 Å, 90.00 90.00 90.00°
Atoms (fractional coordinates):
1 Ge 0.000 0.500 0.000
2 Te 0.500 0.500 0.500
3 W 0.000 0.000 0.000
4 Cl 0.000 0.000 0.500
5 Cl 0.500 0.000 0.000

Values from the calculation:
crystal system: tetragonal
volume: 23.5 Å³ per atom
uncorrected formation energy: 0.27 eV per atom
size of the total moment: 0.0 Bohr magnetons per cell